4
Lattice="-7.6855 -3.6300 5.5497 -9.0546 -3.9014 2.4161 -7.0145 -6.3839 3.6175" Properties=species:S:1:pos:R:3 comment="Y2ZrMo, optimized geometry, DFT PBE-GGA" relative_energy_ev_per_atom=0.160 pbc="T T T"
Y -5.7948 -3.3945 2.8257
Y -0.3570 -0.2091 0.1741
Mo -17.9613 -10.5216 8.7584
Zr -11.5187 -6.7476 5.6168